Record 1
VASP calculation (PBE-GGA) on a geometry-optimized Rb4NaF5 structure.

Magnetization ... 0.34 μB per cell
Raw formation energy ... -60.870 kcal/mol of atoms
ρ ... 3.54 Mg/m³
Excess energy over the best structure of this formula in the dataset ... 0.0 meV per atom

Cell lengths 6.787, 6.787, 6.787 Å; angles 100.08, 100.08, 130.55 degrees
Fractional coordinates of all 10 atoms:
Rb 0.099 0.297 0.396
Rb 0.297 0.901 0.197
Rb 0.703 0.099 0.803
Rb 0.901 0.703 0.604
Na 0.536 0.536 0.000
F 0.226 0.585 0.817
F 0.410 0.226 0.642
F 0.585 0.768 0.358
F 0.768 0.410 0.183
F 0.943 0.943 0.000

Record 2
VASP calculation (PBE-GGA) on a geometry-optimized Rb4NaF6 structure.

Magnetization ... 2.28 μB per cell
Raw formation energy ... -56.309 kcal/mol of atoms
ρ ... 3.49 Mg/m³

Cell lengths 7.697, 7.697, 7.697 Å; angles 88.69, 88.69, 88.69 degrees
Fractional coordinates of all 22 atoms:
Rb 0.121 0.750 0.379
Rb 0.250 0.250 0.250
Rb 0.250 0.621 0.879
Rb 0.379 0.121 0.750
Rb 0.621 0.879 0.250
Rb 0.750 0.379 0.121
Rb 0.750 0.750 0.750
Rb 0.879 0.250 0.621
Na 0.000 0.000 0.000
Na 0.500 0.500 0.500
F 0.063 0.919 0.712
F 0.081 0.288 0.937
F 0.212 0.419 0.563
F 0.288 0.937 0.081
F 0.419 0.563 0.212
F 0.437 0.788 0.581
F 0.563 0.212 0.419
F 0.581 0.437 0.788
F 0.712 0.063 0.919
F 0.788 0.581 0.437
F 0.919 0.712 0.063
F 0.937 0.081 0.288

Record 3
VASP calculation (PBE-GGA) on a geometry-optimized RbNaF structure.

Magnetization ... 0.00 μB per cell
Raw formation energy ... -37.443 kcal/mol of atoms
ρ ... 2.35 Mg/m³

Cell lengths 3.894, 3.894, 6.866 Å; angles 90.00, 90.00, 120.00 degrees
Fractional coordinates of all 3 atoms:
Rb 0.000 0.000 0.000
Na 0.333 0.667 0.440
F 0.667 0.333 0.242

Record 4
VASP calculation (PBE-GGA) on a geometry-optimized Rb2NaF7 structure.

Magnetization ... 0.01 μB per cell
Raw formation energy ... -34.622 kcal/mol of atoms
ρ ... 3.15 Mg/m³

Cell lengths 6.526, 6.526, 6.526 Å; angles 126.87, 126.87, 78.46 degrees
Fractional coordinates of all 10 atoms:
Rb 0.250 0.750 0.500
Rb 0.750 0.250 0.500
Na 0.000 0.000 0.000
F 0.213 0.213 0.000
F 0.277 0.277 0.554
F 0.277 0.723 0.000
F 0.500 0.500 0.000
F 0.723 0.277 0.000
F 0.723 0.723 0.446
F 0.787 0.787 0.000

Record 5
VASP calculation (PBE-GGA) on a geometry-optimized RbNa2F3 structure.

Magnetization ... 0.27 μB per cell
Raw formation energy ... -60.563 kcal/mol of atoms
ρ ... 3.19 Mg/m³
Excess energy over the best structure of this formula in the dataset ... 0.0 meV per atom

Cell lengths 3.356, 9.660, 6.058 Å; angles 90.00, 90.00, 90.00 degrees
Fractional coordinates of all 12 atoms:
Rb 0.000 0.133 0.000
Rb 0.000 0.867 0.500
Na 0.000 0.241 0.502
Na 0.000 0.759 0.002
Na 0.500 0.482 0.007
Na 0.500 0.518 0.507
F 0.000 0.409 0.754
F 0.000 0.591 0.254
F 0.500 0.092 0.632
F 0.500 0.307 0.267
F 0.500 0.693 0.767
F 0.500 0.908 0.132

Record 6
VASP calculation (PBE-GGA) on a geometry-optimized Rb2NaF6 structure.

Magnetization ... 3.01 μB per cell
Raw formation energy ... -41.760 kcal/mol of atoms
ρ ... 2.73 Mg/m³

Cell lengths 7.588, 7.588, 4.048 Å; angles 95.69, 95.69, 53.85 degrees
Fractional coordinates of all 9 atoms:
Rb 0.000 0.000 0.000
Rb 0.730 0.730 0.523
Na 0.300 0.300 0.563
F 0.063 0.528 0.060
F 0.147 0.659 0.440
F 0.280 0.991 0.552
F 0.528 0.063 0.060
F 0.659 0.147 0.440
F 0.991 0.280 0.552

Record 7
VASP calculation (PBE-GGA) on a geometry-optimized Rb6NaF8 structure.

Magnetization ... 1.25 μB per cell
Raw formation energy ... -56.815 kcal/mol of atoms
ρ ... 3.39 Mg/m³

Cell lengths 8.134, 8.134, 5.873 Å; angles 90.00, 90.00, 120.00 degrees
Fractional coordinates of all 15 atoms:
Rb 0.000 0.371 0.274
Rb 0.000 0.629 0.726
Rb 0.371 0.000 0.274
Rb 0.371 0.371 0.726
Rb 0.629 0.000 0.726
Rb 0.629 0.629 0.274
Na 0.000 0.000 0.000
F 0.000 0.267 0.806
F 0.000 0.733 0.194
F 0.267 0.000 0.806
F 0.267 0.267 0.194
F 0.333 0.667 0.500
F 0.667 0.333 0.500
F 0.733 0.000 0.194
F 0.733 0.733 0.806

Record 8
VASP calculation (PBE-GGA) on a geometry-optimized RbNa2F3 structure.

Magnetization ... 0.15 μB per cell
Raw formation energy ... -60.000 kcal/mol of atoms
ρ ... 3.00 Mg/m³
Excess energy over the best structure of this formula in the dataset ... 24.4 meV per atom

Cell lengths 6.505, 6.505, 8.583 Å; angles 90.00, 90.00, 144.95 degrees
Fractional coordinates of all 12 atoms:
Rb 0.248 0.752 0.750
Rb 0.752 0.248 0.250
Na 0.010 0.990 0.250
Na 0.500 0.500 0.000
Na 0.500 0.500 0.500
Na 0.990 0.010 0.750
F 0.116 0.884 0.049
F 0.116 0.884 0.451
F 0.437 0.563 0.250
F 0.563 0.437 0.750
F 0.884 0.116 0.549
F 0.884 0.116 0.951

Record 9
VASP calculation (PBE-GGA) on a geometry-optimized RbNaRhF6 structure.

Magnetization ... 2.11 μB per cell
Raw formation energy ... -47.687 kcal/mol of atoms
ρ ... 3.37 Mg/m³

Cell lengths 7.689, 7.689, 7.689 Å; angles 120.31, 119.96, 89.77 degrees
Fractional coordinates of all 18 atoms:
Rb 0.357 0.107 0.250
Rb 0.643 0.893 0.750
Na 0.000 0.000 0.500
Na 0.000 0.500 0.000
Rh 0.000 0.500 0.500
Rh 0.500 0.500 0.000
F 0.102 0.443 0.299
F 0.102 0.803 0.659
F 0.110 0.860 0.250
F 0.302 0.552 0.750
F 0.356 0.197 0.799
F 0.356 0.557 0.159
F 0.644 0.443 0.841
F 0.644 0.803 0.201
F 0.698 0.448 0.250
F 0.890 0.140 0.750
F 0.898 0.197 0.341
F 0.898 0.557 0.701

Record 10
VASP calculation (PBE-GGA) on a geometry-optimized Rb2Na3RhF12 structure.

Magnetization ... 4.00 μB per cell
Raw formation energy ... -45.102 kcal/mol of atoms
ρ ... 2.83 Mg/m³

Cell lengths 8.022, 8.022, 8.022 Å; angles 56.37, 56.37, 56.37 degrees
Fractional coordinates of all 18 atoms:
Rb 0.112 0.112 0.112
Rb 0.888 0.888 0.888
Na 0.000 0.500 0.500
Na 0.500 0.000 0.500
Na 0.500 0.500 0.000
Rh 0.500 0.500 0.500
F 0.140 0.140 0.596
F 0.140 0.596 0.140
F 0.207 0.567 0.567
F 0.404 0.860 0.860
F 0.433 0.433 0.793
F 0.433 0.793 0.433
F 0.567 0.207 0.567
F 0.567 0.567 0.207
F 0.596 0.140 0.140
F 0.793 0.433 0.433
F 0.860 0.404 0.860
F 0.860 0.860 0.404

Record 11
VASP calculation (PBE-GGA) on a geometry-optimized Rb2NaRh3F12 structure.

Magnetization ... 0.00 μB per cell
Raw formation energy ... -46.040 kcal/mol of atoms
ρ ... 4.01 Mg/m³

Cell lengths 7.612, 7.612, 7.612 Å; angles 58.74, 58.74, 58.74 degrees
Fractional coordinates of all 18 atoms:
Rb 0.133 0.133 0.133
Rb 0.867 0.867 0.867
Na 0.500 0.500 0.500
Rh 0.000 0.500 0.500
Rh 0.500 0.000 0.500
Rh 0.500 0.500 0.000
F 0.130 0.593 0.593
F 0.181 0.181 0.596
F 0.181 0.596 0.181
F 0.404 0.819 0.819
F 0.407 0.407 0.870
F 0.407 0.870 0.407
F 0.593 0.130 0.593
F 0.593 0.593 0.130
F 0.596 0.181 0.181
F 0.819 0.404 0.819
F 0.819 0.819 0.404
F 0.870 0.407 0.407

Record 12
VASP calculation (PBE-GGA) on a geometry-optimized Rb2NaRhF6 structure.

Magnetization ... 0.17 μB per cell
Raw formation energy ... -55.072 kcal/mol of atoms
ρ ... 4.22 Mg/m³

Cell lengths 6.114, 6.114, 6.114 Å; angles 60.00, 60.00, 60.00 degrees
Fractional coordinates of all 10 atoms:
Rb 0.250 0.250 0.250
Rb 0.750 0.750 0.750
Na 0.000 0.000 0.000
Rh 0.500 0.500 0.500
F 0.266 0.266 0.734
F 0.266 0.734 0.266
F 0.266 0.734 0.734
F 0.734 0.266 0.266
F 0.734 0.266 0.734
F 0.734 0.734 0.266

Record 13
VASP calculation (PBE-GGA) on a geometry-optimized RbNa2RhF6 structure.

Magnetization ... 0.38 μB per cell
Raw formation energy ... -53.489 kcal/mol of atoms
ρ ... 3.63 Mg/m³

Cell lengths 5.901, 6.360, 10.311 Å; angles 90.00, 124.58, 90.00 degrees
Fractional coordinates of all 20 atoms:
Rb 0.000 0.000 0.000
Rb 0.000 0.500 0.500
Na 0.215 0.008 0.712
Na 0.215 0.492 0.212
Na 0.785 0.508 0.788
Na 0.785 0.992 0.288
Rh 0.500 0.000 0.500
Rh 0.500 0.500 0.000
F 0.189 0.137 0.493
F 0.189 0.363 0.993
F 0.213 0.710 0.845
F 0.213 0.790 0.345
F 0.455 0.179 0.323
F 0.455 0.321 0.823
F 0.545 0.679 0.177
F 0.545 0.821 0.677
F 0.787 0.210 0.655
F 0.787 0.290 0.155
F 0.811 0.637 0.007
F 0.811 0.863 0.507

Record 14
VASP calculation (PBE-GGA) on a geometry-optimized RbNaRuF6 structure.

Magnetization ... 4.00 μB per cell
Raw formation energy ... -50.779 kcal/mol of atoms
ρ ... 3.53 Mg/m³

Cell lengths 7.511, 7.511, 7.511 Å; angles 119.72, 118.01, 91.98 degrees
Fractional coordinates of all 18 atoms:
Rb 0.380 0.130 0.250
Rb 0.620 0.870 0.750
Na 0.000 0.500 0.500
Na 0.500 0.500 0.000
Ru 0.000 0.000 0.500
Ru 0.000 0.500 0.000
F 0.050 0.329 0.132
F 0.050 0.918 0.721
F 0.064 0.314 0.750
F 0.303 0.082 0.632
F 0.303 0.671 0.221
F 0.357 0.607 0.750
F 0.643 0.393 0.250
F 0.697 0.329 0.779
F 0.697 0.918 0.368
F 0.936 0.686 0.250
F 0.950 0.082 0.279
F 0.950 0.671 0.868

Record 15
VASP calculation (PBE-GGA) on a geometry-optimized RbNa2RuF structure.

Magnetization ... 2.23 μB per cell
Raw formation energy ... 8.704 kcal/mol of atoms
ρ ... 2.35 Mg/m³

Cell lengths 6.155, 6.155, 4.688 Å; angles 90.00, 90.00, 90.00 degrees
Fractional coordinates of all 5 atoms:
Rb 0.000 0.000 0.000
Na 0.000 0.500 0.000
Na 0.500 0.000 0.000
Ru 0.500 0.500 0.500
F 0.000 0.000 0.500

Record 16
VASP calculation (PBE-GGA) on a geometry-optimized Rb2NaRuF6 structure.

Magnetization ... 1.00 μB per cell
Raw formation energy ... -54.752 kcal/mol of atoms
ρ ... 4.17 Mg/m³

Cell lengths 6.129, 6.129, 6.129 Å; angles 60.00, 60.00, 60.00 degrees
Fractional coordinates of all 10 atoms:
Rb 0.250 0.250 0.250
Rb 0.750 0.750 0.750
Na 0.000 0.000 0.000
Ru 0.500 0.500 0.500
F 0.265 0.265 0.735
F 0.265 0.735 0.265
F 0.265 0.735 0.735
F 0.735 0.265 0.265
F 0.735 0.265 0.735
F 0.735 0.735 0.265

Record 17
VASP calculation (PBE-GGA) on a geometry-optimized Rb2NaSF structure.

Magnetization ... 0.00 μB per cell
Raw formation energy ... -35.521 kcal/mol of atoms
ρ ... 3.02 Mg/m³

Cell lengths 5.377, 5.377, 4.666 Å; angles 90.00, 90.00, 90.00 degrees
Fractional coordinates of all 5 atoms:
Rb 0.000 0.500 0.000
Rb 0.500 0.000 0.000
Na 0.000 0.000 0.500
S 0.500 0.500 0.500
F 0.000 0.000 0.000

Record 18
VASP calculation (PBE-GGA) on a geometry-optimized RbNa2SF structure.

Magnetization ... 0.00 μB per cell
Raw formation energy ... -35.265 kcal/mol of atoms
ρ ... 2.65 Mg/m³

Cell lengths 4.696, 4.696, 5.180 Å; angles 90.00, 90.00, 90.00 degrees
Fractional coordinates of all 5 atoms:
Rb 0.000 0.000 0.000
Na 0.000 0.500 0.500
Na 0.500 0.000 0.500
S 0.500 0.500 0.000
F 0.000 0.000 0.500

Record 19
VASP calculation (PBE-GGA) on a geometry-optimized RbNa2SbF structure.

Magnetization ... 0.65 μB per cell
Raw formation energy ... -26.107 kcal/mol of atoms
ρ ... 3.31 Mg/m³

Cell lengths 5.029, 5.029, 5.404 Å; angles 90.00, 90.00, 90.00 degrees
Fractional coordinates of all 5 atoms:
Rb 0.000 0.000 0.000
Na 0.000 0.500 0.500
Na 0.500 0.000 0.500
Sb 0.500 0.500 0.000
F 0.000 0.000 0.500

Record 20
VASP calculation (PBE-GGA) on a geometry-optimized Rb2NaSbF6 structure.

Magnetization ... 0.00 μB per cell
Raw formation energy ... -60.832 kcal/mol of atoms
ρ ... 3.87 Mg/m³

Cell lengths 6.400, 6.375, 11.073 Å; angles 90.00, 125.27, 90.00 degrees
Fractional coordinates of all 20 atoms:
Rb 0.248 0.013 0.250
Rb 0.248 0.487 0.750
Rb 0.752 0.513 0.250
Rb 0.752 0.987 0.750
Na 0.000 0.000 0.500
Na 0.000 0.500 0.000
Sb 0.500 0.000 0.000
Sb 0.500 0.500 0.500
F 0.213 0.220 0.979
F 0.213 0.280 0.479
F 0.259 0.734 0.978
F 0.259 0.766 0.478
F 0.299 0.006 0.757
F 0.299 0.494 0.257
F 0.701 0.506 0.743
F 0.701 0.994 0.243
F 0.741 0.234 0.522
F 0.741 0.266 0.022
F 0.787 0.720 0.521
F 0.787 0.780 0.021